1.
This record from the Alexandria database describes a relaxed Cs2CdI2 crystal. The functional is PBE.

a = 7.396 Å, b = 7.396 Å, c = 14.286 Å
α = 90.00°, β = 90.00°, γ = 90.00°
Space group I4/mmm (No. 139)
Symmetry-distinct sites (fractional):
Cs1 0.000 0.000 0.199 [4 per cell]
Cd1 0.000 0.000 0.500 [2 per cell]
I1 0.000 0.500 0.250 [4 per cell]

## Properties
- E_form (uncorrected): -0.99 eV per atom
- Raw total energy: -2.14 eV/atom
- Energy relative to the lowest polymorph listed for this composition: 69 meV/atom

2.
This record from the Alexandria database describes a relaxed AcBiAu2 crystal. The functional is PBE.

a = 7.543 Å, b = 7.543 Å, c = 7.543 Å
α = 90.00°, β = 90.00°, γ = 90.00°
Space group Fm-3m (No. 225)
Symmetry-distinct sites (fractional):
Ac1 0.000 0.000 0.000 [4 per cell]
Bi1 0.000 0.000 0.500 [4 per cell]
Au1 0.250 0.250 0.250 [8 per cell]

## Properties
- Raw total energy: -4.29 eV/atom
- Energy relative to the lowest polymorph listed for this composition: 0 meV/atom

3.
This record from the Alexandria database describes a relaxed ZrMnHg4 crystal. The functional is PBE.

a = 8.089 Å, b = 8.089 Å, c = 8.089 Å
α = 90.00°, β = 90.00°, γ = 90.00°
Space group F-43m (No. 216)
Symmetry-distinct sites (fractional):
Zr1 0.000 0.000 0.000 [4 per cell]
Mn1 0.250 0.250 0.250 [4 per cell]
Hg1 0.125 0.125 0.625 [16 per cell]

## Properties
- Raw total energy: -2.73 eV/atom

4.
This record from the Alexandria database describes a relaxed PrYOsAu crystal. The functional is PBE.

a = 7.149 Å, b = 7.149 Å, c = 7.149 Å
α = 90.00°, β = 90.00°, γ = 90.00°
Space group F-43m (No. 216)
Symmetry-distinct sites (fractional):
Pr1 0.000 0.000 0.000 [4 per cell]
Y1 0.000 0.000 0.500 [4 per cell]
Os1 0.250 0.250 0.750 [4 per cell]
Au1 0.250 0.250 0.250 [4 per cell]

## Properties
- Raw total energy: -6.77 eV/atom

5.
This record from the Alexandria database describes a relaxed NdFeNi4 crystal. The functional is PBE.

a = 7.090 Å, b = 3.764 Å, c = 6.656 Å
α = 90.00°, β = 90.00°, γ = 90.00°
Space group Pmma (No. 51)
Symmetry-distinct sites (fractional):
Nd1 0.250 0.000 0.135 [2 per cell]
Fe1 0.250 0.000 0.713 [2 per cell]
Ni1 0.000 0.000 0.500 [2 per cell]
Ni2 0.055 0.500 0.777 [4 per cell]
Ni3 0.250 0.500 0.467 [2 per cell]

## Properties
- Raw total energy: -6.11 eV/atom

6.
This record from the Alexandria database describes a relaxed K2BaMnBr6 crystal. The functional is PBE.

a = 7.775 Å, b = 8.160 Å, c = 13.506 Å
α = 90.00°, β = 123.34°, γ = 90.00°
Space group P2_1/c (No. 14)
Symmetry-distinct sites (fractional):
K1 0.214 0.078 0.242 [4 per cell]
Ba1 0.500 0.000 0.000 [2 per cell]
Mn1 0.000 0.000 0.500 [2 per cell]
Br1 0.107 0.217 0.937 [4 per cell]
Br2 0.221 0.676 0.940 [4 per cell]
Br3 0.342 0.036 0.725 [4 per cell]

## Properties
- E_form (uncorrected): -1.56 eV per atom
- Raw total energy: -3.90 eV/atom

What are the DOS at the Fermi energy values for these records? In order: 0.0 1.9 6.3 3.4 4.2 0.0 states/eV/f.u..